{
  "formula": "ZrTlIn2",
  "functional": "PBE-GGA",
  "state": "optimized geometry",
  "spacegroup": "P4/mmm, No. 123",
  "e_form_kj_per_mol_atoms": -6.66,
  "dos_at_fermi_per_ev_fu": 2.82,
  "m_tot_mub_per_fu": 0.0,
  "energy_ev_per_atom": -4.17,
  "lattice": [[-2.599, 1.781, 0.735], [-1.284, -0.678, -2.891], [-4.342, -7.896, 3.779]],
  "species": ["In", "In", "Tl", "Zr"],
  "fractional_positions": [[0.000, 0.000, 0.969], [0.000, 0.000, 0.531], [0.500, 0.500, 0.250], [0.500, 0.500, 0.750]]
}



{
  "formula": "ZrTl2In",
  "functional": "PBE-GGA",
  "state": "optimized geometry",
  "spacegroup": "P4mm, No. 99",
  "e_form_kj_per_mol_atoms": 0.77,
  "dos_at_fermi_per_ev_fu": 2.50,
  "m_tot_mub_per_fu": 0.0,
  "energy_ev_per_atom": -4.00,
  "lattice": [[-2.507, 1.908, 0.773], [-2.018, -2.035, -1.521], [-1.255, -5.073, 8.450]],
  "species": ["In", "Tl", "Tl", "Zr"],
  "fractional_positions": [[0.500, 0.500, 0.720], [0.000, 0.000, 0.995], [0.500, 0.500, 0.278], [0.000, 0.000, 0.507]]
}



{
  "formula": "Zr12Tl5In3",
  "functional": "PBE-GGA",
  "state": "optimized geometry",
  "spacegroup": "Ia-3d, No. 230",
  "e_form_kj_per_mol_atoms": 58.05,
  "dos_at_fermi_per_ev_fu": 24.28,
  "m_tot_mub_per_fu": 0.0,
  "energy_ev_per_atom": -5.53,
  "lattice": [[-11.697, -8.579, 1.670], [11.776, -6.717, 5.423], [-2.133, 12.577, 7.105]],
  "species": ["In", "In", "In", "In", "In", "In", "In", "In", "In", "In", "In", "In", "Tl", "Tl", "Tl", "Tl", "Tl", "Tl", "Tl", "Tl", "Tl", "Tl", "Tl", "Tl", "Tl", "Tl", "Tl", "Tl", "Tl", "Tl", "Tl", "Tl", "Zr", "Zr", "Zr", "Zr", "Zr", "Zr", "Zr", "Zr", "Zr", "Zr", "Zr", "Zr", "Zr", "Zr", "Zr", "Zr", "Zr", "Zr", "Zr", "Zr", "Zr", "Zr", "Zr", "Zr", "Zr", "Zr", "Zr", "Zr", "Zr", "Zr", "Zr", "Zr", "Zr", "Zr", "Zr", "Zr", "Zr", "Zr", "Zr", "Zr", "Zr", "Zr", "Zr", "Zr", "Zr", "Zr", "Zr", "Zr"],
  "fractional_positions": [[0.750, 0.375, 0.125], [0.875, 0.750, 0.125], [0.375, 0.750, 0.625], [0.250, 0.125, 0.375], [0.875, 0.125, 0.250], [0.375, 0.625, 0.250], [0.625, 0.375, 0.750], [0.125, 0.875, 0.750], [0.750, 0.875, 0.625], [0.625, 0.250, 0.375], [0.125, 0.250, 0.875], [0.250, 0.625, 0.875], [0.125, 0.375, 0.250], [0.000, 0.500, 0.000], [0.000, 0.000, 0.000], [0.375, 0.250, 0.125], [0.500, 0.000, 0.500], [0.500, 0.500, 0.000], [0.125, 0.750, 0.375], [0.750, 0.125, 0.875], [0.750, 0.625, 0.375], [0.375, 0.125, 0.750], [0.625, 0.875, 0.250], [0.500, 0.500, 0.500], [0.500, 0.000, 0.000], [0.000, 0.000, 0.500], [0.250, 0.375, 0.625], [0.250, 0.875, 0.125], [0.000, 0.500, 0.500], [0.875, 0.250, 0.625], [0.625, 0.750, 0.875], [0.875, 0.625, 0.750], [0.727, 0.146, 0.069], [0.342, 0.569, 0.423], [0.931, 0.354, 0.273], [0.569, 0.227, 0.146], [0.581, 0.727, 0.658], [0.931, 0.577, 0.158], [0.342, 0.773, 0.419], [0.077, 0.919, 0.146], [0.577, 0.931, 0.658], [0.727, 0.581, 0.158], [0.773, 0.431, 0.354], [0.842, 0.923, 0.069], [0.146, 0.727, 0.569], [0.354, 0.423, 0.081], [0.081, 0.923, 0.354], [0.419, 0.146, 0.577], [0.081, 0.158, 0.227], [0.431, 0.658, 0.077], [0.842, 0.919, 0.273], [0.146, 0.419, 0.077], [0.354, 0.931, 0.773], [0.577, 0.646, 0.419], [0.923, 0.842, 0.569], [0.773, 0.342, 0.919], [0.423, 0.354, 0.581], [0.077, 0.158, 0.431], [0.227, 0.658, 0.081], [0.158, 0.081, 0.727], [0.646, 0.069, 0.227], [0.854, 0.581, 0.923], [0.569, 0.342, 0.923], [0.581, 0.854, 0.423], [0.919, 0.842, 0.773], [0.919, 0.077, 0.646], [0.854, 0.273, 0.431], [0.158, 0.077, 0.931], [0.646, 0.577, 0.919], [0.423, 0.069, 0.342], [0.273, 0.419, 0.842], [0.227, 0.569, 0.646], [0.923, 0.081, 0.854], [0.658, 0.227, 0.581], [0.431, 0.773, 0.854], [0.069, 0.423, 0.842], [0.419, 0.273, 0.342], [0.069, 0.646, 0.727], [0.658, 0.431, 0.577], [0.273, 0.854, 0.931]]
}



{
  "formula": "ZrTlIn2",
  "functional": "PBE-GGA",
  "state": "optimized geometry",
  "spacegroup": "Cmm2, No. 35",
  "e_form_kj_per_mol_atoms": 7.41,
  "dos_at_fermi_per_ev_fu": 3.52,
  "m_tot_mub_per_fu": 0.0,
  "energy_ev_per_atom": -4.02,
  "lattice": [[-1.779, 0.698, -2.683], [0.411, -3.210, 0.615], [-8.681, -0.011, 5.751]],
  "species": ["In", "In", "Tl", "Zr"],
  "fractional_positions": [[0.000, 0.000, 0.989], [0.500, 0.500, 0.246], [0.000, 0.000, 0.510], [0.500, 0.500, 0.755]]
}



{
  "formula": "ZrTlIn2",
  "functional": "PBE-GGA",
  "state": "optimized geometry",
  "spacegroup": "P4/mmm, No. 123",
  "e_form_kj_per_mol_atoms": -2.07,
  "dos_at_fermi_per_ev_fu": 2.20,
  "m_tot_mub_per_fu": 0.0,
  "energy_ev_per_atom": -4.12,
  "lattice": [[-4.666, 1.404, 2.764], [-2.211, -5.008, -1.189], [1.234, -1.182, 2.684]],
  "species": ["In", "In", "Tl", "Zr"],
  "fractional_positions": [[0.000, 0.000, 0.000], [0.500, 0.500, 0.000], [0.500, 0.000, 0.500], [0.000, 0.500, 0.500]]
}



{
  "formula": "ZrTl2In2",
  "functional": "PBE-GGA",
  "state": "optimized geometry",
  "spacegroup": "I4/mmm, No. 139",
  "e_form_kj_per_mol_atoms": 32.96,
  "dos_at_fermi_per_ev_fu": 4.62,
  "m_tot_mub_per_fu": 0.0,
  "energy_ev_per_atom": -3.41,
  "lattice": [[-3.225, 1.157, -2.241], [-2.062, -3.304, 1.262], [-5.555, 3.183, 5.898]],
  "species": ["Tl", "Tl", "Zr", "In", "In"],
  "fractional_positions": [[0.409, 0.409, 0.182], [0.591, 0.591, 0.818], [0.000, 0.000, 0.000], [0.750, 0.250, 0.500], [0.250, 0.750, 0.500]]
}



{
  "formula": "Zr15TlIn4",
  "functional": "PBE-GGA",
  "state": "optimized geometry",
  "spacegroup": "P4/mmm, No. 123",
  "e_form_kj_per_mol_atoms": -21.26,
  "dos_at_fermi_per_ev_fu": 17.30,
  "m_tot_mub_per_fu": 0.0,
  "energy_ev_per_atom": -7.30,
  "lattice": [[4.476, 0.000, 0.000], [0.000, 4.476, 0.000], [0.000, 0.000, 22.390]],
  "species": ["Zr", "Zr", "Zr", "Zr", "Zr", "Zr", "Zr", "Zr", "Zr", "Zr", "Zr", "Zr", "Zr", "Zr", "Zr", "Tl", "In", "In", "In", "In"],
  "fractional_positions": [[0.500, 0.500, 0.000], [0.500, 0.500, 0.200], [0.500, 0.500, 0.400], [0.500, 0.500, 0.600], [0.500, 0.500, 0.800], [0.500, 0.000, 0.101], [0.500, 0.000, 0.300], [0.500, 0.000, 0.500], [0.500, 0.000, 0.700], [0.500, 0.000, 0.899], [0.000, 0.500, 0.101], [0.000, 0.500, 0.300], [0.000, 0.500, 0.500], [0.000, 0.500, 0.700], [0.000, 0.500, 0.899], [0.000, 0.000, 0.000], [0.000, 0.000, 0.200], [0.000, 0.000, 0.400], [0.000, 0.000, 0.600], [0.000, 0.000, 0.800]]
}



{
  "formula": "Zr3TlIn",
  "functional": "PBE-GGA",
  "state": "optimized geometry",
  "spacegroup": "C2/c, No. 15",
  "e_form_kj_per_mol_atoms": -1.23,
  "dos_at_fermi_per_ev_fu": 4.89,
  "m_tot_mub_per_fu": 0.0,
  "energy_ev_per_atom": -6.16,
  "lattice": [[-2.256, -2.293, -9.574], [3.099, -6.463, -3.349], [-5.783, -5.166, -1.566]],
  "species": ["Zr", "Zr", "Zr", "Zr", "Zr", "Zr", "Zr", "Zr", "Zr", "Zr", "Zr", "Zr", "Tl", "Tl", "Tl", "Tl", "In", "In", "In", "In"],
  "fractional_positions": [[0.557, 0.757, 0.060], [0.943, 0.940, 0.243], [0.443, 0.243, 0.940], [0.057, 0.060, 0.757], [0.921, 0.370, 0.049], [0.579, 0.951, 0.630], [0.079, 0.630, 0.951], [0.421, 0.049, 0.370], [0.409, 0.671, 0.727], [0.091, 0.273, 0.329], [0.591, 0.329, 0.273], [0.909, 0.727, 0.671], [0.735, 0.450, 0.794], [0.765, 0.206, 0.550], [0.265, 0.550, 0.206], [0.235, 0.794, 0.450], [0.250, 0.015, 0.985], [0.750, 0.985, 0.015], [0.250, 0.349, 0.651], [0.750, 0.651, 0.349]]
}



{
  "formula": "ZrTl2In",
  "functional": "PBE-GGA",
  "state": "optimized geometry",
  "spacegroup": "Cm, No. 8",
  "e_form_kj_per_mol_atoms": -0.92,
  "dos_at_fermi_per_ev_fu": 1.15,
  "m_tot_mub_per_fu": 0.0,
  "energy_ev_per_atom": -4.01,
  "lattice": [[-4.868, 3.759, -0.543], [-6.106, 0.654, -0.648], [-2.974, 1.027, 4.679]],
  "species": ["In", "Tl", "Tl", "Zr"],
  "fractional_positions": [[0.241, 0.241, 0.169], [0.998, 0.998, 0.077], [0.758, 0.758, 0.656], [0.503, 0.503, 0.598]]
}



{
  "formula": "ZrTl2In",
  "functional": "PBE-GGA",
  "state": "optimized geometry",
  "spacegroup": "Pmmm, No. 47",
  "e_form_kj_per_mol_atoms": 4.47,
  "dos_at_fermi_per_ev_fu": 2.34,
  "m_tot_mub_per_fu": 0.0,
  "energy_ev_per_atom": -3.96,
  "lattice": [[-3.224, -0.058, -0.051], [0.101, -5.648, 0.126], [-0.090, 0.123, 5.597]],
  "species": ["In", "Tl", "Tl", "Zr"],
  "fractional_positions": [[0.000, 0.500, 0.500], [0.000, 0.000, 0.000], [0.500, 0.500, 0.000], [0.500, 0.000, 0.500]]
}



{
  "formula": "Zr6TlIn5",
  "functional": "PBE-GGA",
  "state": "optimized geometry",
  "spacegroup": "Cmmm, No. 65",
  "e_form_kj_per_mol_atoms": -16.63,
  "dos_at_fermi_per_ev_fu": 8.36,
  "m_tot_mub_per_fu": 0.0,
  "energy_ev_per_atom": -5.78,
  "lattice": [[-3.144, -2.377, -3.660], [-1.674, -4.267, 4.209], [-7.742, 3.473, 0.443]],
  "species": ["Tl", "Zr", "Zr", "Zr", "Zr", "Zr", "Zr", "In", "In", "In", "In", "In"],
  "fractional_positions": [[0.000, 0.000, 0.000], [0.833, 0.750, 0.335], [0.833, 0.250, 0.335], [0.500, 0.250, 0.000], [0.500, 0.750, 0.000], [0.167, 0.750, 0.665], [0.167, 0.250, 0.665], [0.666, 0.500, 0.667], [0.333, 0.000, 0.333], [0.000, 0.500, 0.000], [0.667, 0.000, 0.667], [0.334, 0.500, 0.333]]
}



{
  "formula": "ZrTlIn2",
  "functional": "PBE-GGA",
  "state": "optimized geometry",
  "spacegroup": "F-43m, No. 216",
  "e_form_kj_per_mol_atoms": 24.52,
  "dos_at_fermi_per_ev_fu": 2.89,
  "m_tot_mub_per_fu": 0.2,
  "energy_ev_per_atom": -3.84,
  "lattice": [[5.228, 0.000, 0.000], [2.614, 4.527, 0.000], [2.614, 1.509, 4.268]],
  "species": ["In", "In", "Tl", "Zr"],
  "fractional_positions": [[0.000, 0.000, 0.000], [0.750, 0.750, 0.750], [0.500, 0.500, 0.500], [0.250, 0.250, 0.250]]
}



{
  "formula": "Zr2Tl2In",
  "functional": "PBE-GGA",
  "state": "optimized geometry",
  "spacegroup": "I4/mmm, No. 139",
  "e_form_kj_per_mol_atoms": 35.69,
  "dos_at_fermi_per_ev_fu": 4.99,
  "m_tot_mub_per_fu": 0.0,
  "energy_ev_per_atom": -4.54,
  "lattice": [[4.129, 0.000, 0.000], [0.000, 4.129, 0.000], [2.065, 2.065, 7.859]],
  "species": ["Tl", "Tl", "Zr", "Zr", "In"],
  "fractional_positions": [[0.403, 0.403, 0.194], [0.597, 0.597, 0.806], [0.750, 0.250, 0.500], [0.250, 0.750, 0.500], [0.000, 0.000, 0.000]]
}



{
  "formula": "ZrTlIn2",
  "functional": "PBE-GGA",
  "state": "optimized geometry",
  "spacegroup": "Pmmm, No. 47",
  "e_form_kj_per_mol_atoms": -4.89,
  "dos_at_fermi_per_ev_fu": 2.32,
  "m_tot_mub_per_fu": 0.0,
  "energy_ev_per_atom": -4.15,
  "lattice": [[3.474, 0.000, 0.000], [0.000, 4.458, 0.000], [0.000, 0.000, 6.309]],
  "species": ["In", "In", "Tl", "Zr"],
  "fractional_positions": [[0.000, 0.000, 0.983], [0.000, 0.000, 0.517], [0.500, 0.500, 0.250], [0.500, 0.500, 0.750]]
}



{
  "formula": "ZrTl2In",
  "functional": "PBE-GGA",
  "state": "optimized geometry",
  "spacegroup": "Fm-3m, No. 225",
  "e_form_kj_per_mol_atoms": 31.04,
  "dos_at_fermi_per_ev_fu": 6.00,
  "m_tot_mub_per_fu": 0.3,
  "energy_ev_per_atom": -3.68,
  "lattice": [[0.000, 3.724, 3.724], [3.724, 0.000, 3.724], [3.724, 3.724, 0.000]],
  "species": ["Tl", "Tl", "Zr", "In"],
  "fractional_positions": [[0.250, 0.250, 0.250], [0.750, 0.750, 0.750], [0.000, 0.000, 0.000], [0.500, 0.500, 0.500]]
}



{
  "formula": "Zr4TlIn2",
  "functional": "PBE-GGA",
  "state": "optimized geometry",
  "spacegroup": "P2_1/c, No. 14",
  "e_form_kj_per_mol_atoms": -0.10,
  "dos_at_fermi_per_ev_fu": 5.39,
  "m_tot_mub_per_fu": 0.0,
  "energy_ev_per_atom": -6.01,
  "lattice": [[-3.951, -8.584, -5.143], [4.087, -3.655, 2.961], [-5.263, 1.125, 2.166]],
  "species": ["Zr", "Zr", "Zr", "Zr", "Zr", "Zr", "Zr", "Zr", "Tl", "Tl", "In", "In", "In", "In"],
  "fractional_positions": [[0.797, 0.630, 0.973], [0.895, 0.541, 0.390], [0.605, 0.041, 0.390], [0.703, 0.130, 0.973], [0.297, 0.870, 0.027], [0.395, 0.959, 0.610], [0.105, 0.459, 0.610], [0.203, 0.370, 0.027], [0.000, 0.000, 0.000], [0.500, 0.500, 0.000], [0.125, 0.885, 0.460], [0.875, 0.115, 0.540], [0.625, 0.615, 0.540], [0.375, 0.385, 0.460]]
}



{
  "formula": "ZrTlIn2",
  "functional": "PBE-GGA",
  "state": "optimized geometry",
  "spacegroup": "Cmmm, No. 65",
  "e_form_kj_per_mol_atoms": -7.92,
  "dos_at_fermi_per_ev_fu": 1.60,
  "m_tot_mub_per_fu": 0.0,
  "energy_ev_per_atom": -4.18,
  "lattice": [[-1.069, -1.718, -5.243], [-1.119, -3.981, 3.806], [-3.086, 1.117, 0.262]],
  "species": ["In", "In", "Tl", "Zr"],
  "fractional_positions": [[0.000, 0.000, 0.000], [0.500, 0.500, 0.000], [0.500, 0.000, 0.500], [0.000, 0.500, 0.500]]
}



{
  "formula": "ZrTlIn2",
  "functional": "PBE-GGA",
  "state": "optimized geometry",
  "spacegroup": "I-42d, No. 122",
  "e_form_kj_per_mol_atoms": 18.49,
  "dos_at_fermi_per_ev_fu": 3.30,
  "m_tot_mub_per_fu": 0.0,
  "energy_ev_per_atom": -3.91,
  "lattice": [[8.197, 0.000, 0.000], [0.000, 8.197, 0.000], [4.098, 4.098, 3.083]],
  "species": ["Tl", "Tl", "Zr", "Zr", "In", "In", "In", "In"],
  "fractional_positions": [[0.000, 0.000, 0.000], [0.750, 0.250, 0.500], [0.500, 0.500, 0.000], [0.250, 0.750, 0.500], [0.628, 0.125, 0.250], [0.122, 0.625, 0.250], [0.375, 0.372, 0.750], [0.875, 0.878, 0.750]]
}



{
  "formula": "ZrTlIn2",
  "functional": "PBE-GGA",
  "state": "optimized geometry",
  "spacegroup": "P2/m, No. 10",
  "e_form_kj_per_mol_atoms": -0.05,
  "dos_at_fermi_per_ev_fu": 1.93,
  "m_tot_mub_per_fu": 0.0,
  "energy_ev_per_atom": -4.10,
  "lattice": [[-5.351, -0.149, 0.492], [-0.279, -0.098, -3.063], [0.180, -5.858, 0.177]],
  "species": ["In", "In", "Tl", "Zr"],
  "fractional_positions": [[0.000, 0.240, 0.988], [0.000, 0.260, 0.512], [0.500, 0.250, 0.250], [0.500, 0.750, 0.750]]
}



{
  "formula": "ZrTlIn2",
  "functional": "PBE-GGA",
  "state": "optimized geometry",
  "spacegroup": "Cm, No. 8",
  "e_form_kj_per_mol_atoms": -8.81,
  "dos_at_fermi_per_ev_fu": 1.19,
  "m_tot_mub_per_fu": 0.0,
  "energy_ev_per_atom": -4.19,
  "lattice": [[-4.083, -0.329, -4.557], [-1.161, -1.116, -5.912], [-1.960, -5.073, -1.280]],
  "species": ["In", "In", "Tl", "Zr"],
  "fractional_positions": [[0.993, 0.993, 0.917], [0.749, 0.749, 0.828], [0.506, 0.506, 0.406], [0.252, 0.252, 0.350]]
}